# 1
Entry from Alexandria: an optimized crystal structure of Tb2Nd3Tm8 (PBE-GGA).

Calculated values
Final energy ... -59.01 eV for the cell shown
Energy above the most stable polymorph in this dataset ... 0.00 eV per formula unit
ρ ... 8.5 g/cm3
DFT formation energy ... 25 meV per atom

Geometry as POSCAR:
```
Tb2Nd3Tm8
1.0
6.045 0.854 -0.749
-1.388 5.102 3.110
-5.377 -2.819 12.290
Nd Tm Tb
3 8 2
Cartesian
1.888 3.758 2.710
0.000 0.000 0.000
-2.608 -0.621 11.941
-2.200 1.287 8.990
2.394 0.243 2.647
-1.776 3.169 6.082
0.155 1.572 11.597
1.057 -0.032 8.569
-3.114 2.894 12.004
1.480 1.850 5.661
-0.875 1.564 3.054
-1.298 -0.320 5.983
0.578 3.457 8.668
```

=====

# 2
Entry from Alexandria: an optimized crystal structure of TbNd7Tm3 (PBE-GGA).

Calculated values
Final energy ... -48.94 eV for the cell shown
Energy above the most stable polymorph in this dataset ... 0.48 eV per formula unit
ρ ... 7.3 g/cm3
DFT formation energy ... 225 meV per atom

Geometry as POSCAR:
```
TbNd7Tm3
1.0
-1.071 -4.712 -3.380
7.996 2.790 -1.269
3.091 -2.456 7.599
Nd Tm Tb
7 3 1
Cartesian
1.666 -2.865 3.473
2.079 -0.915 0.609
8.350 -1.514 -0.524
4.502 0.169 -1.656
7.937 -3.464 2.340
5.543 0.167 3.165
5.513 -4.548 4.605
6.994 1.718 0.542
4.093 -1.385 5.787
-0.536 -2.356 -1.690
5.008 -2.189 1.474
```

=====

# 3
Entry from Alexandria: an optimized crystal structure of TbNd5Tm5 (PBE-GGA).

Calculated values
Final energy ... -47.92 eV for the cell shown
ρ ... 7.8 g/cm3
DFT formation energy ... 264 meV per atom

Geometry as POSCAR:
```
TbNd5Tm5
1.0
-2.295 -4.513 3.123
7.792 3.458 5.056
-5.742 3.851 1.346
Tm Nd Tb
5 5 1
Cartesian
-0.363 3.993 5.503
0.119 -1.198 4.022
-2.871 1.925 0.673
2.866 2.362 5.519
-3.110 0.433 4.006
-3.009 4.016 3.593
-0.074 2.047 2.903
2.765 -1.221 5.932
-1.147 -2.256 1.562
-0.171 0.749 6.622
0.000 0.000 0.000
```

=====

# 4
Entry from Alexandria: an optimized crystal structure of Tb4Nd5Tm2 (PBE-GGA).

Calculated values
Final energy ... -50.47 eV for the cell shown
Energy above the most stable polymorph in this dataset ... 0.00 eV per formula unit
ρ ... 7.7 g/cm3
DFT formation energy ... 76 meV per atom

Geometry as POSCAR:
```
Tb4Nd5Tm2
1.0
0.243 2.567 2.451
-9.988 4.616 -3.845
-4.108 -6.540 4.676
Nd Tm Tb
5 2 4
Cartesian
0.121 1.284 1.225
-7.723 -0.807 4.193
-6.131 1.450 -0.911
-2.129 -1.532 1.816
-11.725 2.175 1.465
-8.724 -0.007 0.872
-5.129 0.650 2.410
-4.916 -2.827 3.449
-10.946 -0.174 3.849
-8.938 3.470 -0.167
-2.908 0.817 -0.567
```

=====

# 5
Entry from Alexandria: an optimized crystal structure of Tb15Nd2Tm2 (PBE-GGA).

Calculated values
Final energy ... -82.79 eV for the cell shown
ρ ... 7.8 g/cm3
DFT formation energy ... 271 meV per atom

Geometry as POSCAR:
```
Tb15Nd2Tm2
1.0
-0.275 -0.627 8.711
7.846 -3.539 1.507
4.498 7.170 2.172
Nd Tb Tm
2 15 2
Cartesian
8.142 2.026 8.359
3.927 0.977 4.031
-0.138 -0.314 4.356
6.855 -0.371 1.704
3.923 -1.770 0.754
6.618 4.566 5.615
2.128 -1.489 6.580
8.233 -0.600 5.294
4.316 0.805 8.769
5.450 -1.562 6.775
7.753 2.199 3.621
3.835 3.604 7.096
2.249 3.585 1.086
5.443 -2.677 3.639
1.137 1.680 6.776
3.085 4.863 4.107
5.488 4.001 1.975
1.156 0.288 1.187
10.912 2.716 11.203
```

=====

# 6
Entry from Alexandria: an optimized crystal structure of Tb5Nd4Tm4 (PBE-GGA).

Calculated values
Final energy ... -59.85 eV for the cell shown
ρ ... 8.1 g/cm3
DFT formation energy ... 20 meV per atom

Geometry as POSCAR:
```
Tb5Nd4Tm4
1.0
-3.241 3.259 -2.082
-7.073 0.856 6.234
2.759 8.553 2.977
Tb Tm Nd
5 4 4
Cartesian
-6.786 3.699 4.124
0.000 0.000 0.000
-1.431 3.103 0.971
-6.124 9.563 6.159
-0.769 8.968 3.005
-4.997 3.492 1.016
-8.216 6.829 5.137
-2.557 9.175 6.114
0.662 5.838 1.993
-4.673 6.457 5.153
-2.882 6.209 1.977
-3.234 3.314 4.107
-4.321 9.352 3.022
```

=====

# 7
Entry from Alexandria: an optimized crystal structure of Tb6Nd3Tm (PBE-GGA).

Calculated values
Final energy ... -90.18 eV for the cell shown
Energy above the most stable polymorph in this dataset ... 0.00 eV per formula unit
ρ ... 7.8 g/cm3
DFT formation energy ... 147 meV per atom

Geometry as POSCAR:
```
Tb6Nd3Tm
1.0
6.384 0.000 0.000
0.000 10.835 -1.636
0.000 -4.012 10.197
Nd Tb Tm
6 12 2
Cartesian
2.959 7.320 5.719
6.151 -0.497 2.842
3.652 5.083 2.948
0.460 1.740 5.613
2.959 2.882 0.150
6.151 3.941 8.411
0.327 2.934 2.305
3.519 1.592 3.374
0.327 5.230 5.187
4.144 0.032 6.974
2.349 -1.324 4.727
2.349 1.920 8.797
0.952 6.791 1.587
5.541 4.903 -0.236
2.375 10.260 -1.178
5.541 8.147 3.834
5.567 -3.437 9.739
3.519 3.889 6.256
4.000 7.943 0.669
0.808 -1.120 7.892
```

=====

# 8
Entry from Alexandria: an optimized crystal structure of Tb7Nd16Tm6 (PBE-GGA).

Calculated values
Final energy ... -129.32 eV for the cell shown
ρ ... 7.2 g/cm3
DFT formation energy ... 214 meV per atom

Geometry as POSCAR:
```
Tb7Nd16Tm6
1.0
-0.753 -7.900 8.051
9.241 -5.623 3.283
4.442 1.903 10.220
Tb Nd Tm
7 16 6
Cartesian
4.244 -6.762 5.667
2.221 0.951 5.110
4.621 -2.812 1.642
-0.377 -3.950 4.025
1.844 -2.999 9.135
6.841 -1.860 6.752
0.000 0.000 0.000
5.744 -8.675 7.898
11.695 -6.212 14.831
11.317 -10.172 18.866
1.235 -5.409 6.723
9.091 -11.125 13.744
3.839 -0.495 7.810
10.045 -7.430 9.523
8.391 -7.541 13.987
2.885 -4.191 12.031
6.244 -4.268 4.333
1.612 -1.449 2.688
4.090 -8.786 12.363
4.539 -4.080 7.567
7.185 -2.946 13.656
6.686 -7.353 17.221
8.839 -2.834 9.191
5.151 -5.899 14.322
3.050 -6.799 9.487
7.422 -9.460 11.041
9.880 -4.822 12.067
7.778 -5.722 7.232
5.508 -2.161 10.513
```